{
  "formula": "KRbSrCl4",
  "functional": "PBE",
  "state": "optimized geometry",
  "energy_ev_per_atom": -3.713,
  "spacegroup": "I4mm",
  "lattice_angstrom": [[-2.8274, 2.8274, 8.2879], [2.8274, -2.8274, 8.2879], [2.8274, 2.8274, -8.2879]],
  "species": ["K", "Rb", "Sr", "Cl", "Cl", "Cl", "Cl"],
  "fractional_positions": [[0.0000, 0.0000, 0.0000], [0.2840, 0.2840, 0.0000], [0.6443, 0.6443, 0.0000], [0.1404, 0.6404, 0.5000], [0.4728, 0.4728, 0.0000], [0.6404, 0.1404, 0.5000], [0.8168, 0.8168, 0.0000]]
}

{
  "formula": "KRbTaCl6",
  "functional": "PBE",
  "state": "optimized geometry",
  "energy_ev_per_atom": -4.369,
  "spacegroup": "P-31c",
  "lattice_angstrom": [[7.5739, 0.0000, 0.0000], [-3.7869, 6.5592, 0.0000], [0.0000, 0.0000, 12.8626]],
  "species": ["K", "K", "Rb", "Rb", "Ta", "Ta", "Cl", "Cl", "Cl", "Cl", "Cl", "Cl", "Cl", "Cl", "Cl", "Cl", "Cl", "Cl"],
  "fractional_positions": [[0.3333, 0.6667, 0.2500], [0.6667, 0.3333, 0.7500], [0.0000, 0.0000, 0.0000], [0.0000, 0.0000, 0.5000], [0.3333, 0.6667, 0.7500], [0.6667, 0.3333, 0.2500], [0.0712, 0.4064, 0.6403], [0.0712, 0.6649, 0.8597], [0.3351, 0.4064, 0.8597], [0.3351, 0.9288, 0.6403], [0.4064, 0.0712, 0.1403], [0.4064, 0.3351, 0.3597], [0.5936, 0.6649, 0.6403], [0.5936, 0.9288, 0.8597], [0.6649, 0.0712, 0.3597], [0.6649, 0.5936, 0.1403], [0.9288, 0.3351, 0.1403], [0.9288, 0.5936, 0.3597]]
}

{
  "formula": "K2RbTbCl6",
  "functional": "PBE",
  "state": "optimized geometry",
  "energy_ev_per_atom": -4.014,
  "spacegroup": "R3",
  "lattice_angstrom": [[3.8931, 2.2477, 6.7928], [-3.8931, 2.2477, 6.7928], [0.0000, -4.4953, 6.7928]],
  "species": ["K", "K", "Rb", "Tb", "Cl", "Cl", "Cl", "Cl", "Cl", "Cl"],
  "fractional_positions": [[0.0000, 0.0000, 0.0000], [0.4895, 0.4895, 0.4895], [0.2067, 0.2067, 0.2067], [0.6960, 0.6960, 0.6960], [0.0373, 0.4568, 0.8009], [0.3480, 0.8841, 0.6077], [0.4568, 0.8009, 0.0373], [0.6077, 0.3480, 0.8841], [0.8009, 0.0373, 0.4568], [0.8841, 0.6077, 0.3480]]
}

{
  "formula": "K2RbTbCl6",
  "functional": "PBE",
  "state": "optimized geometry",
  "energy_ev_per_atom": -3.923,
  "spacegroup": "Fm-3m",
  "lattice_angstrom": [[0.0000, 5.7432, 5.7432], [5.7432, 0.0000, 5.7432], [5.7432, 5.7432, 0.0000]],
  "species": ["K", "K", "Rb", "Tb", "Cl", "Cl", "Cl", "Cl", "Cl", "Cl"],
  "fractional_positions": [[0.2500, 0.2500, 0.2500], [0.7500, 0.7500, 0.7500], [0.0000, 0.0000, 0.0000], [0.5000, 0.5000, 0.5000], [0.2698, 0.2698, 0.7302], [0.2698, 0.7302, 0.2698], [0.2698, 0.7302, 0.7302], [0.7302, 0.2698, 0.2698], [0.7302, 0.2698, 0.7302], [0.7302, 0.7302, 0.2698]]
}

{
  "formula": "KRb2TcCl8",
  "functional": "PBE",
  "state": "optimized geometry",
  "energy_ev_per_atom": -3.586,
  "spacegroup": "P-1",
  "lattice_angstrom": [[6.1323, 0.0000, 0.0000], [1.2940, 6.8004, 0.0000], [0.0035, 0.0125, 9.9773]],
  "species": ["K", "Rb", "Rb", "Tc", "Cl", "Cl", "Cl", "Cl", "Cl", "Cl", "Cl", "Cl"],
  "fractional_positions": [[0.0000, 0.0000, 0.0000], [0.5002, 0.4992, 0.2610], [0.4998, 0.5008, 0.7390], [0.0000, 0.0000, 0.5000], [0.0855, 0.2128, 0.3290], [0.0870, 0.2115, 0.6708], [0.3647, 0.8264, 0.4993], [0.4973, 0.7726, 0.0001], [0.5027, 0.2274, 0.9999], [0.6353, 0.1736, 0.5007], [0.9130, 0.7885, 0.3292], [0.9145, 0.7872, 0.6710]]
}

{
  "formula": "KRb2TcCl6",
  "functional": "PBE",
  "state": "optimized geometry",
  "energy_ev_per_atom": -3.868,
  "spacegroup": "R-3m",
  "lattice_angstrom": [[3.6429, 2.1032, 14.6421], [-3.6429, 2.1032, 14.6421], [0.0000, -4.2065, 14.6421]],
  "species": ["K", "K", "Rb", "Rb", "Rb", "Rb", "Tc", "Tc", "Cl", "Cl", "Cl", "Cl", "Cl", "Cl", "Cl", "Cl", "Cl", "Cl", "Cl", "Cl"],
  "fractional_positions": [[0.0858, 0.0858, 0.0858], [0.9142, 0.9142, 0.9142], [0.1919, 0.1919, 0.1919], [0.3590, 0.3590, 0.3590], [0.6410, 0.6410, 0.6410], [0.8081, 0.8081, 0.8081], [0.0000, 0.0000, 0.0000], [0.5000, 0.5000, 0.5000], [0.1252, 0.1252, 0.6537], [0.1252, 0.6537, 0.1252], [0.2204, 0.6880, 0.6880], [0.3120, 0.3120, 0.7796], [0.3120, 0.7796, 0.3120], [0.3463, 0.8748, 0.8748], [0.6537, 0.1252, 0.1252], [0.6880, 0.2204, 0.6880], [0.6880, 0.6880, 0.2204], [0.7796, 0.3120, 0.3120], [0.8748, 0.3463, 0.8748], [0.8748, 0.8748, 0.3463]]
}

Energy relative to the elements, uncorrected, record by record: -2.123; -1.591; -2.127; -2.036; -1.239; -1.420 eV per atom